Record 1
An optimized crystal structure of Li2PdRh, computed with PBE.

Results
E: -17.5 eV/cell
V: 13.815 Å³ per atom

Unit cell a=2.6837 b=2.6837 c=8.5288 alpha=90.00 beta=90.00 gamma=115.89
Positions (direct):
Li (0.0000, 0.0000, 0.2483)
Li (0.0000, 0.0000, 0.7517)
Pd (0.5000, 0.5000, 0.5000)
Rh (0.5000, 0.5000, 0.0000)


Record 2
An optimized crystal structure of Na2GaAgH, computed with PBE.

Results
E: -10.2 eV/cell
V: 22.843 Å³ per atom

Unit cell a=5.9260 b=5.9260 c=3.2524 alpha=90.00 beta=90.00 gamma=90.00
Positions (direct):
Na (0.0000, 0.5000, 0.0000)
Na (0.5000, 0.0000, 0.0000)
Ga (0.0000, 0.0000, 0.0000)
Ag (0.5000, 0.5000, 0.5000)
H (0.0000, 0.0000, 0.5000)


Record 3
An optimized crystal structure of NaCo2Cl8, computed with PBE.

Results
E: -75.7 eV/cell
V: 33.535 Å³ per atom
formation energy (no corrections): -7.5 eV/f.u.

Unit cell a=10.1241 b=10.1241 c=12.1808 alpha=125.43 beta=125.43 gamma=50.29
Positions (direct):
Na (0.0137, 0.9863, 0.7500)
Na (0.9863, 0.0137, 0.2500)
Co (0.1592, 0.6559, 0.9594)
Co (0.3441, 0.8408, 0.5406)
Co (0.6559, 0.1592, 0.4594)
Co (0.8408, 0.3441, 0.0406)
Cl (0.1122, 0.2165, 0.0397)
Cl (0.1428, 0.6552, 0.7736)
Cl (0.1808, 0.7104, 0.3483)
Cl (0.2165, 0.1122, 0.5397)
Cl (0.2896, 0.8192, 0.1517)
Cl (0.3069, 0.3850, 0.9592)
Cl (0.3448, 0.8572, 0.7264)
Cl (0.3850, 0.3069, 0.4592)
Cl (0.6150, 0.6931, 0.5407)
Cl (0.6552, 0.1428, 0.2736)
Cl (0.6931, 0.6150, 0.0408)
Cl (0.7104, 0.1808, 0.8483)
Cl (0.7835, 0.8878, 0.4603)
Cl (0.8192, 0.2896, 0.6517)
Cl (0.8572, 0.3448, 0.2264)
Cl (0.8878, 0.7835, 0.9603)


Record 4
An optimized crystal structure of RbBa2ZnS, computed with PBE.

Results
E: -10.6 eV/cell
V: 47.044 Å³ per atom
formation energy (no corrections): -0.3 eV/f.u.

Unit cell a=6.2488 b=6.2488 c=6.0239 alpha=90.00 beta=90.00 gamma=90.00
Positions (direct):
Rb (0.0000, 0.0000, 0.0000)
Ba (0.0000, 0.5000, 0.5000)
Ba (0.5000, 0.0000, 0.5000)
Zn (0.0000, 0.0000, 0.5000)
S (0.5000, 0.5000, 0.0000)


Record 5
An optimized crystal structure of LiCd6Au12, computed with PBE.

Results
E: -49.6 eV/cell
excess energy over the best structure of this formula in the dataset: 14 meV/atom
V: 19.186 Å³ per atom

Unit cell a=7.1503 b=7.1503 c=7.1503 alpha=92.46 beta=92.46 gamma=92.46
Positions (direct):
Li (0.0000, 0.0000, 0.0000)
Cd (0.1159, 0.7354, 0.2867)
Cd (0.2646, 0.7133, 0.8841)
Cd (0.2867, 0.1159, 0.7354)
Cd (0.7133, 0.8841, 0.2646)
Cd (0.7354, 0.2867, 0.1159)
Cd (0.8841, 0.2646, 0.7133)
Au (0.0489, 0.1311, 0.3605)
Au (0.1311, 0.3605, 0.0489)
Au (0.2064, 0.4603, 0.5484)
Au (0.3605, 0.0489, 0.1311)
Au (0.4516, 0.7936, 0.5397)
Au (0.4603, 0.5484, 0.2064)
Au (0.5397, 0.4516, 0.7936)
Au (0.5484, 0.2064, 0.4603)
Au (0.6395, 0.9511, 0.8689)
Au (0.7936, 0.5397, 0.4516)
Au (0.8689, 0.6395, 0.9511)
Au (0.9511, 0.8689, 0.6395)


Record 6
An optimized crystal structure of K4Ce3O8, computed with PBE.

Results
E: -100.7 eV/cell
V: 19.731 Å³ per atom
formation energy (no corrections): -38.8 eV/f.u.

Unit cell a=7.7708 b=7.7708 c=7.7708 alpha=55.35 beta=55.35 gamma=55.35
Positions (direct):
K (0.0000, 0.0000, 0.0000)
K (0.1472, 0.1472, 0.1472)
K (0.5000, 0.5000, 0.5000)
K (0.8528, 0.8528, 0.8528)
Ce (0.0000, 0.5000, 0.5000)
Ce (0.5000, 0.0000, 0.5000)
Ce (0.5000, 0.5000, 0.0000)
O (0.2450, 0.2450, 0.6822)
O (0.2450, 0.6822, 0.2450)
O (0.2775, 0.2775, 0.2775)
O (0.3178, 0.7550, 0.7550)
O (0.6822, 0.2450, 0.2450)
O (0.7225, 0.7225, 0.7225)
O (0.7550, 0.3178, 0.7550)
O (0.7550, 0.7550, 0.3178)


Record 7
An optimized crystal structure of Pm2BeGe3Ir4, computed with PBE.

Results
E: -69.8 eV/cell
V: 17.870 Å³ per atom

Unit cell a=4.2014 b=4.2014 c=10.1238 alpha=90.00 beta=90.00 gamma=90.00
Positions (direct):
Pm (0.0000, 0.5000, 0.2437)
Pm (0.5000, 0.0000, 0.7563)
Be (0.5000, 0.5000, 0.0000)
Ge (0.0000, 0.0000, 0.0000)
Ge (0.0000, 0.5000, 0.6348)
Ge (0.5000, 0.0000, 0.3652)
Ir (0.0000, 0.0000, 0.5000)
Ir (0.0000, 0.5000, 0.8780)
Ir (0.5000, 0.0000, 0.1220)
Ir (0.5000, 0.5000, 0.5000)


Record 8
An optimized crystal structure of Ca2TcIr2, computed with PBE.

Results
E: -65.3 eV/cell
V: 20.601 Å³ per atom

Unit cell a=6.5591 b=6.5591 c=4.7886 alpha=90.00 beta=90.00 gamma=90.00
Positions (direct):
Ca (0.1798, 0.3202, 0.0000)
Ca (0.3202, 0.8202, 0.0000)
Ca (0.6798, 0.1798, 0.0000)
Ca (0.8202, 0.6798, 0.0000)
Tc (0.0000, 0.0000, 0.5000)
Tc (0.5000, 0.5000, 0.5000)
Ir (0.1351, 0.6351, 0.5000)
Ir (0.3649, 0.1351, 0.5000)
Ir (0.6351, 0.8649, 0.5000)
Ir (0.8649, 0.3649, 0.5000)


Record 9
An optimized crystal structure of Mn2SiW, computed with PBE.

Results
E: -37.1 eV/cell
V: 12.756 Å³ per atom
formation energy (no corrections): -0.4 eV/f.u.

Unit cell a=4.6250 b=4.6250 c=4.6250 alpha=138.09 beta=128.20 gamma=68.74
Positions (direct):
Mn (0.2460, 0.2460, 0.0000)
Mn (0.7540, 0.7540, 0.0000)
Si (0.0000, 0.5000, 0.5000)
W (0.5000, 0.0000, 0.5000)


Record 10
An optimized crystal structure of BiPS4Cl, computed with PBE.

Results
E: -58.1 eV/cell
V: 34.220 Å³ per atom
formation energy (no corrections): -1.4 eV/f.u.

Unit cell a=7.3347 b=7.3347 c=9.1067 alpha=98.40 beta=98.40 gamma=86.53
Positions (direct):
Bi (0.2067, 0.2067, 0.4952)
Bi (0.7933, 0.7933, 0.5048)
P (0.3779, 0.3779, 0.2288)
P (0.6221, 0.6221, 0.7712)
S (0.1537, 0.4820, 0.3393)
S (0.3022, 0.3022, 0.0107)
S (0.4335, 0.4335, 0.7691)
S (0.4820, 0.1537, 0.3393)
S (0.5180, 0.8463, 0.6607)
S (0.5665, 0.5665, 0.2309)
S (0.6978, 0.6978, 0.9893)
S (0.8463, 0.5180, 0.6607)
Cl (0.0036, 0.0036, 0.7018)
Cl (0.9964, 0.9964, 0.2982)


Record 11
An optimized crystal structure of PuBiRh, computed with PBE.

Results
E: -26.2 eV/cell
V: 23.145 Å³ per atom

Unit cell a=6.3959 b=6.3959 c=6.3959 alpha=148.94 beta=148.94 gamma=44.50
Positions (direct):
Pu (0.0000, 0.0000, 0.0000)
Bi (0.2878, 0.2878, 0.0000)
Rh (0.6426, 0.6426, 0.0000)


Record 12
An optimized crystal structure of SrMn2Tl, computed with PBE.

Results
E: -19.7 eV/cell
excess energy over the best structure of this formula in the dataset: 285 meV/atom
V: 24.613 Å³ per atom

Unit cell a=6.1818 b=6.1818 c=3.2132 alpha=103.42 beta=103.42 gamma=116.65
Positions (direct):
Sr (0.0000, 0.0000, 0.0000)
Mn (0.0000, 0.5000, 0.5000)
Mn (0.5000, 0.0000, 0.5000)
Tl (0.5000, 0.5000, 0.0000)